[1]
{"formula": "LaMgTc2", "functional": "PBE", "state": "relaxed", "lattice": [[-2.6630, 2.2998, 2.5400], [-1.3481, -2.4836, 0.8353], [3.2355, -2.1284, 5.3194]], "species": ["La", "Mg", "Tc", "Tc"], "fractional_positions": [[0.5000, 0.2500, 0.2500], [0.5000, 0.7500, 0.7500], [0.0000, 0.1387, 0.9328], [0.0000, 0.3613, 0.5672]], "sg": "P2/m, No. 10", "formation_enthalpy_0k_ev_per_atom": 0.360, "e_tot_ev_per_fu": -25.81, "dos_at_fermi_per_ev_cell": 3.6}

[2]
{"formula": "Pm2SmHo6Er", "functional": "PBE", "state": "relaxed", "lattice": [[-4.9197, 6.1957, -5.5181], [0.8048, -6.0229, -6.3027], [-6.4568, -0.9832, 5.8302]], "species": ["Pm", "Pm", "Pm", "Pm", "Sm", "Sm", "Ho", "Ho", "Ho", "Ho", "Ho", "Ho", "Ho", "Ho", "Ho", "Ho", "Ho", "Ho", "Er", "Er"], "fractional_positions": [[0.4568, 0.8046, 0.7016], [0.0432, 0.2984, 0.1954], [0.5432, 0.1954, 0.2984], [0.9568, 0.7016, 0.8046], [0.2500, 0.9808, 0.0192], [0.7500, 0.0192, 0.9808], [0.0573, 0.1242, 0.7435], [0.4427, 0.2565, 0.8758], [0.9427, 0.8758, 0.2565], [0.5573, 0.7435, 0.1242], [0.3140, 0.9799, 0.4276], [0.1860, 0.5724, 0.0201], [0.6860, 0.0201, 0.5724], [0.8140, 0.4276, 0.9799], [0.1192, 0.7066, 0.4940], [0.3808, 0.5060, 0.2934], [0.8808, 0.2934, 0.5060], [0.6192, 0.4940, 0.7066], [0.2500, 0.4076, 0.5924], [0.7500, 0.5924, 0.4076]], "sg": "C2/c, No. 15", "formation_enthalpy_0k_ev_per_atom": 0.117, "e_tot_ev_per_fu": -45.08, "dos_at_fermi_per_ev_cell": 27.3}